Model 1:
Density functional theory data (PBE) for a relaxed Sm8Dy6Tm crystal.

a b c (Å): 8.686 8.686 8.686
angles (deg): 63.11 63.11 63.11
Atoms (fractional coordinates):
Sm  0.078  0.078  0.078
Sm  0.219  0.249  0.612
Sm  0.249  0.612  0.219
Sm  0.388  0.781  0.751
Sm  0.612  0.219  0.249
Sm  0.751  0.388  0.781
Sm  0.781  0.751  0.388
Sm  0.922  0.922  0.922
Dy  0.040  0.742  0.599
Dy  0.258  0.401  0.960
Dy  0.401  0.960  0.258
Dy  0.599  0.040  0.742
Dy  0.742  0.599  0.040
Dy  0.960  0.258  0.401
Tm  0.500  0.500  0.500

Results
- symmetry = R-3
- DOS(E_F) (states/eV/atom) = 1.530
- calculated volume (Å³ per cell) = 495.31

---

Model 2:
Density functional theory data (PBE) for a relaxed Sm8Dy6Tm crystal.

a b c (Å): 9.387 9.387 6.521
angles (deg): 90.00 90.00 120.00
Atoms (fractional coordinates):
Sm  0.035  0.751  0.333
Sm  0.249  0.283  0.333
Sm  0.283  0.035  0.667
Sm  0.333  0.667  0.379
Sm  0.667  0.333  0.621
Sm  0.717  0.965  0.333
Sm  0.751  0.717  0.667
Sm  0.965  0.249  0.667
Dy  0.092  0.654  0.839
Dy  0.346  0.438  0.839
Dy  0.438  0.092  0.161
Dy  0.562  0.908  0.839
Dy  0.654  0.562  0.161
Dy  0.908  0.346  0.161
Tm  0.000  0.000  0.000

Results
- symmetry = P-3
- DOS(E_F) (states/eV/atom) = 1.535
- calculated volume (Å³ per cell) = 497.63

---

model 1 is favored, and the nearest alternative lies 52 meV/atom above it.

---

Model 1:
Density functional theory data (PBE) for a relaxed Sm2Dy9Tm crystal.

a b c (Å): 5.023 5.023 15.064
angles (deg): 90.00 90.00 90.00
Atoms (fractional coordinates):
Sm  0.000  0.000  0.167
Sm  0.000  0.000  0.833
Dy  0.000  0.500  0.000
Dy  0.000  0.500  0.335
Dy  0.000  0.500  0.665
Dy  0.500  0.000  0.000
Dy  0.500  0.000  0.335
Dy  0.500  0.000  0.665
Dy  0.500  0.500  0.168
Dy  0.500  0.500  0.500
Dy  0.500  0.500  0.832
Tm  0.000  0.000  0.500

Results
- symmetry = P4/mmm
- DOS(E_F) (states/eV/atom) = 1.531
- calculated volume (Å³ per cell) = 380.08

---

Model 2:
Density functional theory data (PBE) for a relaxed Sm2Dy9Tm crystal.

a b c (Å): 11.221 11.221 3.487
angles (deg): 90.00 90.00 120.00
Atoms (fractional coordinates):
Sm  0.333  0.667  0.000
Sm  0.667  0.333  0.000
Dy  0.000  0.500  0.000
Dy  0.174  0.347  0.500
Dy  0.174  0.826  0.500
Dy  0.347  0.174  0.500
Dy  0.500  0.000  0.000
Dy  0.500  0.500  0.000
Dy  0.653  0.826  0.500
Dy  0.826  0.174  0.500
Dy  0.826  0.653  0.500
Tm  0.000  0.000  0.000

Results
- symmetry = P6/mmm
- DOS(E_F) (states/eV/atom) = 1.619
- calculated volume (Å³ per cell) = 380.21

---

model 1 is favored, and the nearest alternative lies 43 meV/atom above it.

---

Model 1:
Density functional theory data (PBE) for a relaxed Sm2Dy7Tm crystal.

a b c (Å): 14.723 14.723 3.500
angles (deg): 90.00 90.00 154.58
Atoms (fractional coordinates):
Sm  0.208  0.792  0.000
Sm  0.792  0.208  0.000
Dy  0.000  0.000  0.000
Dy  0.156  0.352  0.000
Dy  0.315  0.685  0.500
Dy  0.352  0.156  0.000
Dy  0.648  0.844  0.000
Dy  0.685  0.315  0.500
Dy  0.844  0.648  0.000
Tm  0.500  0.500  0.500

Results
- symmetry = Cmmm
- DOS(E_F) (states/eV/atom) = 1.523
- calculated volume (Å³ per cell) = 325.67

---

Model 2:
Density functional theory data (PBE) for a relaxed Sm2Dy7Tm crystal.

a b c (Å): 6.153 6.158 9.390
angles (deg): 102.67 109.04 99.56
Atoms (fractional coordinates):
Sm  0.100  0.001  0.201
Sm  0.900  0.999  0.799
Dy  0.100  0.500  0.699
Dy  0.300  0.000  0.599
Dy  0.301  0.501  0.101
Dy  0.500  0.000  0.000
Dy  0.699  0.499  0.899
Dy  0.700  0.000  0.401
Dy  0.900  0.500  0.301
Tm  0.500  0.500  0.500

Results
- symmetry = P-1
- DOS(E_F) (states/eV/atom) = 1.442
- calculated volume (Å³ per cell) = 317.02

---

model 2 is favored, and the nearest alternative lies 139 meV/atom above it.

---

Model 1:
Density functional theory data (PBE) for a relaxed Sm12Dy7Tm crystal.

a b c (Å): 11.481 11.481 11.481
angles (deg): 116.86 116.86 116.86
Atoms (fractional coordinates):
Sm  0.000  0.413  0.587
Sm  0.000  0.587  0.413
Sm  0.087  0.441  0.088
Sm  0.088  0.087  0.441
Sm  0.413  0.000  0.587
Sm  0.413  0.587  0.000
Sm  0.441  0.088  0.087
Sm  0.559  0.912  0.913
Sm  0.587  0.000  0.413
Sm  0.587  0.413  0.000
Sm  0.912  0.913  0.559
Sm  0.913  0.559  0.912
Dy  0.000  0.000  0.000
Dy  0.130  0.374  0.375
Dy  0.374  0.375  0.130
Dy  0.375  0.130  0.374
Dy  0.625  0.870  0.626
Dy  0.626  0.625  0.870
Dy  0.870  0.626  0.625
Tm  0.500  0.500  0.500

Results
- symmetry = R-3
- DOS(E_F) (states/eV/atom) = 1.359
- calculated volume (Å³ per cell) = 681.62

---

Model 2:
Density functional theory data (PBE) for a relaxed Sm12Dy7Tm crystal.

a b c (Å): 8.779 8.779 8.779
angles (deg): 94.36 94.36 94.36
Atoms (fractional coordinates):
Sm  0.022  0.353  0.087
Sm  0.087  0.022  0.353
Sm  0.185  0.317  0.749
Sm  0.251  0.815  0.683
Sm  0.317  0.749  0.185
Sm  0.353  0.087  0.022
Sm  0.647  0.913  0.978
Sm  0.683  0.251  0.815
Sm  0.749  0.185  0.317
Sm  0.815  0.683  0.251
Sm  0.913  0.978  0.647
Sm  0.978  0.647  0.913
Dy  0.000  0.000  0.000
Dy  0.151  0.480  0.417
Dy  0.417  0.151  0.480
Dy  0.480  0.417  0.151
Dy  0.520  0.583  0.849
Dy  0.583  0.849  0.520
Dy  0.849  0.520  0.583
Tm  0.500  0.500  0.500

Results
- symmetry = R-3
- DOS(E_F) (states/eV/atom) = 1.103
- calculated volume (Å³ per cell) = 670.42

---

model 1 is favored, and the nearest alternative lies 32 meV/atom above it.